# 1
! Sm3Zn2Ni9Sn PBE relaxed; values from VASP
! Space group   No. 164
! Formation enthalpy at 0 K   -0.092 eV/atom
! Total magnetization   0.00 μB/cell
&SYSTEM
  ibrav = 0, nat = 15, ntyp = 4
/
ATOMIC_SPECIES
Sm 150.36 Sm.upf
Zn 65.41 Zn.upf
Ni 58.69 Ni.upf
Sn 118.71 Sn.upf
CELL_PARAMETERS angstrom
-0.796 -5.085 -0.706
4.188 1.637 2.603
-6.078 -0.446 10.058
ATOMIC_POSITIONS angstrom
Sm -2.135 -0.946 9.214
Sm 0.000 0.000 0.000
Sm -0.551 -2.948 2.740
Zn 1.538 -0.676 3.135
Zn -4.224 -3.218 8.819
Ni -4.001 -4.220 6.599
Ni -1.988 -3.433 7.850
Ni -3.619 -1.776 6.938
Ni 0.933 -2.119 5.016
Ni -0.697 -0.461 4.104
Ni 1.316 0.326 5.356
Ni -0.398 -2.543 -0.353
Ni 2.094 0.818 1.302
Ni 1.696 -1.724 0.948
Sn -3.039 -0.223 5.029

---

# 2
! SrSmNi PBE relaxed; values from VASP
! Space group   No. 107
! Formation enthalpy at 0 K   -0.054 eV/atom
! Total magnetization   0.00 μB/cell
&SYSTEM
  ibrav = 0, nat = 3, ntyp = 3
/
ATOMIC_SPECIES
Sr 87.62 Sr.upf
Sm 150.36 Sm.upf
Ni 58.69 Ni.upf
CELL_PARAMETERS angstrom
3.587 0.000 0.000
0.000 3.587 0.000
-1.793 -1.793 6.742
ATOMIC_POSITIONS angstrom
Sr 0.000 0.000 0.425
Sm 0.000 0.000 3.839
Ni 1.793 1.793 2.477

---

# 3
! TbSm2Ni PBE relaxed; values from VASP
! Space group   No. 160
! Formation enthalpy at 0 K   -0.054 eV/atom
! Total magnetization   0.00 μB/cell
&SYSTEM
  ibrav = 0, nat = 4, ntyp = 3
/
ATOMIC_SPECIES
Tb 158.93 Tb.upf
Sm 150.36 Sm.upf
Ni 58.69 Ni.upf
CELL_PARAMETERS angstrom
3.822 0.000 0.000
1.911 3.310 0.000
1.911 1.103 9.120
ATOMIC_POSITIONS angstrom
Tb 3.822 2.206 4.539
Sm 1.911 1.103 7.464
Sm 1.911 1.103 1.661
Ni 3.822 2.206 0.015

---

# 4
! Tb5SmNi2 PBE relaxed; values from VASP
! Space group   No. 63
! Formation enthalpy at 0 K   -0.138 eV/atom
! Total magnetization   0.00 μB/cell
&SYSTEM
  ibrav = 0, nat = 16, ntyp = 3
/
ATOMIC_SPECIES
Tb 158.93 Tb.upf
Sm 150.36 Sm.upf
Ni 58.69 Ni.upf
CELL_PARAMETERS angstrom
-1.042 -0.649 3.445
6.528 -1.862 -0.318
5.087 17.026 4.745
ATOMIC_POSITIONS angstrom
Tb 9.369 13.276 7.274
Tb 7.730 7.789 5.745
Tb 6.179 6.075 3.012
Tb 4.236 -0.427 1.200
Tb 1.662 3.600 3.122
Tb 8.912 10.914 4.750
Tb 4.395 8.440 4.859
Tb 6.337 14.942 6.671
Tb 1.204 1.239 0.598
Tb 2.844 6.726 2.127
Sm 5.685 11.575 5.840
Sm 4.889 2.940 2.032
Ni 3.864 4.950 4.042
Ni 2.705 1.069 2.960
Ni 6.709 9.564 3.830
Ni 7.869 13.445 4.911

---

# 5
! TbSmNi2 PBE relaxed; values from VASP
! Space group   No. 6
! Formation enthalpy at 0 K   -0.404 eV/atom
! Total magnetization   0.00 μB/cell
&SYSTEM
  ibrav = 0, nat = 4, ntyp = 3
/
ATOMIC_SPECIES
Tb 158.93 Tb.upf
Sm 150.36 Sm.upf
Ni 58.69 Ni.upf
CELL_PARAMETERS angstrom
-1.940 2.935 -1.397
-3.636 -2.105 0.626
0.612 0.555 5.426
ATOMIC_POSITIONS angstrom
Tb -0.797 2.657 4.309
Sm -2.418 0.484 1.998
Ni -1.599 -0.124 4.710
Ni 0.321 0.350 3.040

---

# 6
! TbSmNi PBE relaxed; values from VASP
! Space group   No. 156
! Formation enthalpy at 0 K   -0.057 eV/atom
! Total magnetization   0.00 μB/cell
&SYSTEM
  ibrav = 0, nat = 3, ntyp = 3
/
ATOMIC_SPECIES
Ni 58.69 Ni.upf
Tb 158.93 Tb.upf
Sm 150.36 Sm.upf
CELL_PARAMETERS angstrom
4.154 0.000 0.000
0.000 4.541 0.000
0.000 -2.270 3.932
ATOMIC_POSITIONS angstrom
Ni 1.298 0.000 2.622
Tb 0.349 0.000 0.000
Sm 2.507 2.270 1.311

---

# 7
! Tb3SmNi PBE relaxed; values from VASP
! Space group   No. 12
! Formation enthalpy at 0 K   -0.148 eV/atom
! Total magnetization   0.00 μB/cell
&SYSTEM
  ibrav = 0, nat = 10, ntyp = 3
/
ATOMIC_SPECIES
Tb 158.93 Tb.upf
Sm 150.36 Sm.upf
Ni 58.69 Ni.upf
CELL_PARAMETERS angstrom
3.640 0.000 0.000
-1.820 6.582 0.459
0.000 -0.017 11.741
ATOMIC_POSITIONS angstrom
Tb 0.000 0.517 4.288
Tb 1.820 6.047 7.912
Tb 0.000 5.651 2.040
Tb 1.820 0.914 10.160
Tb 0.000 2.975 7.677
Tb 1.820 3.590 4.524
Sm 1.820 4.368 10.920
Sm 0.000 2.197 1.281
Ni 1.820 1.293 6.375
Ni 0.000 5.272 5.825

---

# 8
! TbSmNi2 PBE relaxed; values from VASP
! Space group   No. 123
! Formation enthalpy at 0 K   -0.323 eV/atom
! Total magnetization   0.00 μB/cell
&SYSTEM
  ibrav = 0, nat = 4, ntyp = 3
/
ATOMIC_SPECIES
Ni 58.69 Ni.upf
Tb 158.93 Tb.upf
Sm 150.36 Sm.upf
CELL_PARAMETERS angstrom
-0.277 2.615 -2.111
1.138 -2.900 -3.742
-4.717 -1.020 -0.644
ATOMIC_POSITIONS angstrom
Ni -2.358 -0.510 -0.322
Ni 0.569 -1.450 -1.871
Tb -0.139 1.308 -1.056
Sm -1.928 -0.652 -3.248